Entry 1:
ZnTc: relaxed, GGA-PBE.

Cell lengths 2.967, 2.964, 7.294 Å; angles 65.96, 90.00, 90.00 degrees
Element x y z (fractional)
1 Zn 0.250 0.874 0.875
2 Zn 0.750 0.126 0.125
3 Tc 0.250 0.359 0.391
4 Tc 0.750 0.641 0.609

Results
For the mass density, the calculation gives 9265 kg/m3. The calculation puts the formation energy from the elements at -0.034 eV per atom. Its total magnetic moment is 0.00 μB/f.u.

---

Entry 2:
La2InAu: relaxed, GGA-PBE.

Cell lengths 5.311, 5.311, 5.311 Å; angles 60.00, 60.00, 60.00 degrees
Element x y z (fractional)
1 Au 0.500 0.500 0.500
2 In 0.750 0.750 0.750
3 La 0.000 0.000 0.000
4 La 0.250 0.250 0.250

Results
For the mass density, the calculation gives 9240 kg/m3. The calculation puts the formation energy from the elements at -0.273 eV per atom. Its total magnetic moment is 0.03 μB/f.u.